# CuMoRh2, optimized geometry, DFT PBE-GGA
# **Calculated formation energy**: 0 kJ per mole of atoms
# **Distance to the lowest polymorph of the same formula**: 0.137 eV per atom
# **Density**: 10.64 g/cm³
# **DOS at the Fermi energy**: 5.4 states/eV/f.u.
# **Electronic total energy**: -7.41 eV per atom
# **Calculated volume**: 14.2 A^3/atom
# **Total magnetization**: 0.00 μB/f.u.
data_CuMoRh2
_cell_length_a 6.1086
_cell_length_b 6.1086
_cell_length_c 6.1086
_cell_angle_alpha 90.00
_cell_angle_beta 90.00
_cell_angle_gamma 90.00
_space_group_name_H-M_alt 'F m -3 m'
_space_group_IT_number 225
_space_group_name_Hall '-F 4 2 3'
loop_
_atom_site_label
_atom_site_type_symbol
_atom_site_fract_x
_atom_site_fract_y
_atom_site_fract_z
Cu1 Cu 0.0000 0.0000 0.0000
Mo1 Mo 0.0000 0.0000 0.5000
Rh1 Rh 0.2500 0.2500 0.2500


# Tb3PrTm7, optimized geometry, DFT PBE-GGA
# **Calculated formation energy**: 19 kJ per mole of atoms
# **Distance to the lowest polymorph of the same formula**: 0.039 eV per atom
# **Density**: 8.24 g/cm³
# **DOS at the Fermi energy**: 16.9 states/eV/f.u.
# **Electronic total energy**: -4.35 eV per atom
# **Calculated volume**: 33.0 A^3/atom
# **Total magnetization**: 0.00 μB/f.u.
data_Tb3PrTm7
_cell_length_a 6.9926
_cell_length_b 6.9926
_cell_length_c 8.5678
_cell_angle_alpha 90.00
_cell_angle_beta 90.00
_cell_angle_gamma 120.00
_space_group_name_H-M_alt 'P 3 m 1'
_space_group_IT_number 156
loop_
_space_group_symop_operation_xyz
'x,y,z'
'-y,x-y,z'
'-x+y,-x,z'
'-y,-x,z'
'-x+y,y,z'
'x,x-y,z'
loop_
_atom_site_label
_atom_site_type_symbol
_atom_site_fract_x
_atom_site_fract_y
_atom_site_fract_z
Tb1 Tb 0.1674 0.3347 0.0000
Pr1 Pr 0.0000 0.0000 0.6622
Tm1 Tm 0.0022 0.5011 0.6607
Tm2 Tm 0.3324 0.1662 0.3326
Tm3 Tm 0.3333 0.6667 0.3340


# Nd2DyEr2, optimized geometry, DFT PBE-GGA
# **Calculated formation energy**: 1 kJ per mole of atoms
# **Distance to the lowest polymorph of the same formula**: 0.000 eV per atom
# **Density**: 8.03 g/cm³
# **DOS at the Fermi energy**: 6.4 states/eV/f.u.
# **Electronic total energy**: -4.64 eV per atom
# **Calculated volume**: 32.5 A^3/atom
# **Total magnetization**: 0.00 μB/f.u.
data_Nd2DyEr2
_cell_length_a 6.2220
_cell_length_b 3.6010
_cell_length_c 14.6578
_cell_angle_alpha 90.00
_cell_angle_beta 98.25
_cell_angle_gamma 90.00
_space_group_name_H-M_alt 'C 1 2/m 1'
_space_group_IT_number 12
loop_
_space_group_symop_operation_xyz
'x,y,z'
'-x,-y,-z'
'-x,y,-z'
'x,-y,z'
'x+1/2,y+1/2,z'
'-x+1/2,-y+1/2,-z'
'-x+1/2,y+1/2,-z'
'x+1/2,-y+1/2,z'
loop_
_atom_site_label
_atom_site_type_symbol
_atom_site_fract_x
_atom_site_fract_y
_atom_site_fract_z
Nd1 Nd 0.1331 0.0000 0.3937
Dy1 Dy 0.0000 0.0000 0.0000
Er1 Er 0.0998 0.5000 0.8058


# ScBeAg2Hg, optimized geometry, DFT PBE-GGA
# **Calculated formation energy**: 101 kJ per mole of atoms
# **Density**: 5.52 g/cm³
# **DOS at the Fermi energy**: 4.7 states/eV/f.u.
# **Electronic total energy**: -2.17 eV per atom
# **Calculated volume**: 28.3 A^3/atom
# **Total magnetization**: 0.00 μB/f.u.
data_ScBeAg2Hg
_cell_length_a 5.1778
_cell_length_b 5.1778
_cell_length_c 5.2780
_cell_angle_alpha 90.00
_cell_angle_beta 90.00
_cell_angle_gamma 90.00
_space_group_name_H-M_alt 'P 4/m m m'
_space_group_IT_number 123
_space_group_name_Hall '-P 4 2'
loop_
_atom_site_label
_atom_site_type_symbol
_atom_site_fract_x
_atom_site_fract_y
_atom_site_fract_z
Sc1 Sc 0.0000 0.0000 0.0000
Be1 Be 0.5000 0.5000 0.0000
Ag1 Ag 0.0000 0.5000 0.5000
Hg1 Hg 0.0000 0.0000 0.5000


# La4NdDy5, optimized geometry, DFT PBE-GGA
# **Calculated formation energy**: 19 kJ per mole of atoms
# **Distance to the lowest polymorph of the same formula**: 0.000 eV per atom
# **Density**: 7.08 g/cm³
# **DOS at the Fermi energy**: 15.4 states/eV/f.u.
# **Electronic total energy**: -4.56 eV per atom
# **Calculated volume**: 35.5 A^3/atom
# **Total magnetization**: 0.00 μB/f.u.
data_La4NdDy5
_cell_length_a 17.2870
_cell_length_b 3.5627
_cell_length_c 11.5186
_cell_angle_alpha 90.00
_cell_angle_beta 90.27
_cell_angle_gamma 90.00
_space_group_name_H-M_alt 'C 1 2/m 1'
_space_group_IT_number 12
loop_
_space_group_symop_operation_xyz
'x,y,z'
'-x,-y,-z'
'-x,y,-z'
'x,-y,z'
'x+1/2,y+1/2,z'
'-x+1/2,-y+1/2,-z'
'-x+1/2,y+1/2,-z'
'x+1/2,-y+1/2,z'
loop_
_atom_site_label
_atom_site_type_symbol
_atom_site_fract_x
_atom_site_fract_y
_atom_site_fract_z
La1 La 0.0336 0.0000 0.2481
La2 La 0.1612 0.5000 0.7496
Nd1 Nd 0.0000 0.5000 0.5000
Dy1 Dy 0.0000 0.5000 0.0000
Dy2 Dy 0.1727 0.0000 0.0469
Dy3 Dy 0.1742 0.0000 0.4486


# Cd2InH2, optimized geometry, DFT PBE-GGA
# **Distance to the lowest polymorph of the same formula**: 0.239 eV per atom
# **Density**: 6.84 g/cm³
# **DOS at the Fermi energy**: 1.7 states/eV/f.u.
# **Electronic total energy**: -1.93 eV per atom
# **Calculated volume**: 16.6 A^3/atom
# **Total magnetization**: 0.00 μB/f.u.
data_Cd2InH2
_cell_length_a 3.4942
_cell_length_b 3.4942
_cell_length_c 13.5849
_cell_angle_alpha 90.00
_cell_angle_beta 90.00
_cell_angle_gamma 90.00
_space_group_name_H-M_alt 'I 4/m m m'
_space_group_IT_number 139
_space_group_name_Hall '-I 4 2'
loop_
_atom_site_label
_atom_site_type_symbol
_atom_site_fract_x
_atom_site_fract_y
_atom_site_fract_z
Cd1 Cd 0.0000 0.0000 0.1546
In1 In 0.0000 0.0000 0.5000
H1 H 0.0000 0.5000 0.2500


# SrGd2Rh, optimized geometry, DFT PBE-GGA
# **Calculated formation energy**: -31 kJ per mole of atoms
# **Distance to the lowest polymorph of the same formula**: 0.047 eV per atom
# **Density**: 6.74 g/cm³
# **DOS at the Fermi energy**: 4.1 states/eV/f.u.
# **Electronic total energy**: -9.62 eV per atom
# **Calculated volume**: 31.1 A^3/atom
# **Total magnetization**: 14.42 μB/f.u.
data_SrGd2Rh
_cell_length_a 3.5739
_cell_length_b 3.5739
_cell_length_c 9.7436
_cell_angle_alpha 90.00
_cell_angle_beta 90.00
_cell_angle_gamma 90.00
_space_group_name_H-M_alt 'P 4/m m m'
_space_group_IT_number 123
_space_group_name_Hall '-P 4 2'
loop_
_atom_site_label
_atom_site_type_symbol
_atom_site_fract_x
_atom_site_fract_y
_atom_site_fract_z
Sr1 Sr 0.0000 0.0000 0.0000
Gd1 Gd 0.5000 0.5000 0.3355
Rh1 Rh 0.0000 0.0000 0.5000


# AlP2BrO, optimized geometry, DFT PBE-GGA
# **Formation energy without anion corrections**: 1.052 eV/atom
# **Distance to the lowest polymorph of the same formula**: 1.077 eV per atom
# **Density**: 3.38 g/cm³
# **DOS at the Fermi energy**: 2.9 states/eV/f.u.
# **Electronic total energy**: -3.19 eV per atom
# **Calculated volume**: 18.2 A^3/atom
# **Total magnetization**: 0.00 μB/f.u.
data_AlP2BrO
_cell_length_a 4.8786
_cell_length_b 4.8786
_cell_length_c 3.8154
_cell_angle_alpha 90.00
_cell_angle_beta 90.00
_cell_angle_gamma 90.00
_space_group_name_H-M_alt 'P 4/m m m'
_space_group_IT_number 123
_space_group_name_Hall '-P 4 2'
loop_
_atom_site_label
_atom_site_type_symbol
_atom_site_fract_x
_atom_site_fract_y
_atom_site_fract_z
Al1 Al 0.0000 0.0000 0.0000
P1 P 0.0000 0.5000 0.5000
Br1 Br 0.5000 0.5000 0.5000
O1 O 0.5000 0.5000 0.0000


# RbPr2Er, optimized geometry, DFT PBE-GGA
# **Calculated formation energy**: 23 kJ per mole of atoms
# **Density**: 5.50 g/cm³
# **DOS at the Fermi energy**: 4.5 states/eV/f.u.
# **Electronic total energy**: -3.54 eV per atom
# **Calculated volume**: 40.3 A^3/atom
# **Total magnetization**: 0.00 μB/f.u.
data_RbPr2Er
_cell_length_a 3.7060
_cell_length_b 3.7060
_cell_length_c 40.6807
_cell_angle_alpha 90.00
_cell_angle_beta 90.00
_cell_angle_gamma 120.00
_space_group_name_H-M_alt 'R -3 m'
_space_group_IT_number 166
_space_group_name_Hall '-R 3 2"'
loop_
_atom_site_label
_atom_site_type_symbol
_atom_site_fract_x
_atom_site_fract_y
_atom_site_fract_z
Rb1 Rb 0.0000 0.0000 0.0000
Pr1 Pr 0.0000 0.0000 0.0967
Er1 Er 0.0000 0.0000 0.5000


# Rb3Cd5, optimized geometry, DFT PBE-GGA
# **Calculated formation energy**: -2 kJ per mole of atoms
# **Density**: 4.22 g/cm³
# **DOS at the Fermi energy**: 4.2 states/eV/f.u.
# **Electronic total energy**: -0.96 eV per atom
# **Calculated volume**: 40.3 A^3/atom
# **Total magnetization**: 0.00 μB/f.u.
data_Rb3Cd5
_cell_length_a 7.3862
_cell_length_b 19.0432
_cell_length_c 9.2987
_cell_angle_alpha 90.00
_cell_angle_beta 99.61
_cell_angle_gamma 90.00
_space_group_name_H-M_alt 'C 1 2/m 1'
_space_group_IT_number 12
loop_
_space_group_symop_operation_xyz
'x,y,z'
'-x,-y,-z'
'-x,y,-z'
'x,-y,z'
'x+1/2,y+1/2,z'
'-x+1/2,-y+1/2,-z'
'-x+1/2,y+1/2,-z'
'x+1/2,-y+1/2,z'
loop_
_atom_site_label
_atom_site_type_symbol
_atom_site_fract_x
_atom_site_fract_y
_atom_site_fract_z
Rb1 Rb 0.0000 0.1613 0.0000
Rb2 Rb 0.0000 0.2202 0.5000
Rb3 Rb 0.1445 0.0000 0.7041
Cd1 Cd 0.0251 0.3459 0.1615
Cd2 Cd 0.1419 0.5000 0.9001
Cd3 Cd 0.1595 0.4180 0.6180


# MgTe2P, optimized geometry, DFT PBE-GGA
# **Formation energy without anion corrections**: -0.053 eV/atom
# **Distance to the lowest polymorph of the same formula**: 0.163 eV per atom
# **Density**: 5.06 g/cm³
# **DOS at the Fermi energy**: 1.9 states/eV/f.u.
# **Electronic total energy**: -3.38 eV per atom
# **Calculated volume**: 25.4 A^3/atom
# **Total magnetization**: 0.00 μB/f.u.
data_MgTe2P
_cell_length_a 4.1311
_cell_length_b 4.1311
_cell_length_c 20.6615
_cell_angle_alpha 90.00
_cell_angle_beta 90.00
_cell_angle_gamma 120.00
_space_group_name_H-M_alt 'R 3 m'
_space_group_IT_number 160
_space_group_name_Hall 'R 3 -2"'
loop_
_atom_site_label
_atom_site_type_symbol
_atom_site_fract_x
_atom_site_fract_y
_atom_site_fract_z
Mg1 Mg 0.0000 0.0000 0.0000
Te1 Te 0.0000 0.0000 0.5218
Te2 Te 0.0000 0.0000 0.7514
P1 P 0.0000 0.0000 0.2607


# PmScHg4, optimized geometry, DFT PBE-GGA
# **Calculated formation energy**: -29 kJ per mole of atoms
# **Density**: 11.35 g/cm³
# **DOS at the Fermi energy**: 4.4 states/eV/f.u.
# **Electronic total energy**: -2.35 eV per atom
# **Calculated volume**: 24.2 A^3/atom
# **Total magnetization**: 0.42 μB/f.u.
data_PmScHg4
_cell_length_a 11.8957
_cell_length_b 3.5275
_cell_length_c 7.2664
_cell_angle_alpha 90.00
_cell_angle_beta 107.72
_cell_angle_gamma 90.00
_space_group_name_H-M_alt 'C 1 2/m 1'
_space_group_IT_number 12
loop_
_space_group_symop_operation_xyz
'x,y,z'
'-x,-y,-z'
'-x,y,-z'
'x,-y,z'
'x+1/2,y+1/2,z'
'-x+1/2,-y+1/2,-z'
'-x+1/2,y+1/2,-z'
'x+1/2,-y+1/2,z'
loop_
_atom_site_label
_atom_site_type_symbol
_atom_site_fract_x
_atom_site_fract_y
_atom_site_fract_z
Pm1 Pm 0.0000 0.0000 0.0000
Sc1 Sc 0.0000 0.0000 0.5000
Hg1 Hg 0.1618 0.5000 0.3501
Hg2 Hg 0.1706 0.5000 0.8180


# Be2InOs, optimized geometry, DFT PBE-GGA
# **Calculated formation energy**: 62 kJ per mole of atoms
# **Density**: 9.42 g/cm³
# **DOS at the Fermi energy**: 2.2 states/eV/f.u.
# **Electronic total energy**: -4.71 eV per atom
# **Calculated volume**: 14.2 A^3/atom
# **Total magnetization**: 0.00 μB/f.u.
data_Be2InOs
_cell_length_a 3.0276
_cell_length_b 4.7349
_cell_length_c 7.9490
_cell_angle_alpha 90.00
_cell_angle_beta 90.00
_cell_angle_gamma 90.00
_space_group_name_H-M_alt 'C m m 2'
_space_group_IT_number 35
loop_
_space_group_symop_operation_xyz
'x,y,z'
'-x,-y,z'
'-x,y,z'
'x,-y,z'
'x+1/2,y+1/2,z'
'-x+1/2,-y+1/2,z'
'-x+1/2,y+1/2,z'
'x+1/2,-y+1/2,z'
loop_
_atom_site_label
_atom_site_type_symbol
_atom_site_fract_x
_atom_site_fract_y
_atom_site_fract_z
Be1 Be 0.0000 0.0000 0.0000
Be2 Be 0.0000 0.5000 0.2008
In1 In 0.0000 0.5000 0.7143
Os1 Os 0.0000 0.0000 0.4104